# 1
# PBEsol NaTaWF2, optimized geometry
# V ... 17.73 Å³ per atom
# Uncorrected formation energy ... -0.164 eV per atom
data_NaTaWF2
_cell_length_a 4.155
_cell_length_b 4.155
_cell_length_c 5.135
_cell_angle_alpha 90.00
_cell_angle_beta 90.00
_cell_angle_gamma 90.00
_symmetry_space_group_name_H-M 'P 4/m m m'
_symmetry_Int_Tables_number 123
_symmetry_space_group_name_Hall '-P 4 2'
loop_
_atom_site_label
_atom_site_type_symbol
_atom_site_fract_x
_atom_site_fract_y
_atom_site_fract_z
Na1 Na 0.000 0.000 0.000
Ta1 Ta 0.500 0.500 0.500
W1 W 0.500 0.500 0.000
F1 F 0.000 0.500 0.500

---

# 2
# PBEsol Na2TcF6, optimized geometry
# V ... 12.72 Å³ per atom
# Uncorrected formation energy ... -2.430 eV per atom
data_Na2TcF6
_cell_length_a 5.5391
_cell_length_b 5.5391
_cell_length_c 4.3084
_cell_angle_alpha 90.00
_cell_angle_beta 90.00
_cell_angle_gamma 120.00
_symmetry_space_group_name_H-M 'P -3 m 1'
_symmetry_Int_Tables_number 164
_symmetry_space_group_name_Hall '-P 3 2"'
loop_
_atom_site_label
_atom_site_type_symbol
_atom_site_fract_x
_atom_site_fract_y
_atom_site_fract_z
Na1 Na 0.3333 0.6667 0.3337
Tc1 Tc 0.0000 0.0000 0.0000
F1 F 0.1698 0.3397 0.7586

---

# 3
# PBEsol NaTeF5, optimized geometry
# V ... 15.43 Å³ per atom
# Uncorrected formation energy ... -2.384 eV per atom
data_NaTeF5
_cell_length_a 10.293
_cell_length_b 5.888
_cell_length_c 7.129
_cell_angle_alpha 90.00
_cell_angle_beta 90.00
_cell_angle_gamma 90.00
_symmetry_space_group_name_H-M 'P n m a'
_symmetry_Int_Tables_number 62
loop_
_symmetry_equiv_pos_as_xyz
'x,y,z'
'-x,-y,-z'
'-x+1/2,-y,z+1/2'
'x+1/2,y,-z+1/2'
'x+1/2,-y+1/2,-z+1/2'
'-x+1/2,y+1/2,z+1/2'
'-x,y+1/2,-z'
'x,-y+1/2,z'
loop_
_atom_site_label
_atom_site_type_symbol
_atom_site_fract_x
_atom_site_fract_y
_atom_site_fract_z
Na1 Na 0.002 0.250 0.182
Te1 Te 0.235 0.250 0.648
F1 F 0.100 0.016 0.643
F2 F 0.135 0.523 0.049
F3 F 0.194 0.250 0.386

---

# 4
# PBEsol Na3TiF6, optimized geometry
# Excess energy over the best structure of this formula in the dataset ... 0.0928 eV/atom
# V ... 13.84 Å³ per atom
# Uncorrected formation energy ... -2.909 eV per atom
data_Na3TiF6
_cell_length_a 8.212
_cell_length_b 8.212
_cell_length_c 8.212
_cell_angle_alpha 90.00
_cell_angle_beta 90.00
_cell_angle_gamma 90.00
_symmetry_space_group_name_H-M 'F m -3 m'
_symmetry_Int_Tables_number 225
_symmetry_space_group_name_Hall '-F 4 2 3'
loop_
_atom_site_label
_atom_site_type_symbol
_atom_site_fract_x
_atom_site_fract_y
_atom_site_fract_z
Na1 Na 0.000 0.000 0.000
Na2 Na 0.250 0.250 0.250
Ti1 Ti 0.000 0.000 0.500
F1 F 0.000 0.000 0.262

---

# 5
# PBEsol Na2TiF6, optimized geometry
# V ... 13.89 Å³ per atom
# Uncorrected formation energy ... -3.212 eV per atom
data_Na2TiF6
_cell_length_a 9.1904
_cell_length_b 9.1904
_cell_length_c 5.1256
_cell_angle_alpha 90.00
_cell_angle_beta 90.00
_cell_angle_gamma 120.00
_symmetry_space_group_name_H-M 'P 3 2 1'
_symmetry_Int_Tables_number 150
loop_
_symmetry_equiv_pos_as_xyz
'x,y,z'
'-y,x-y,z'
'-x+y,-x,z'
'y,x,-z'
'x-y,-y,-z'
'-x,-x+y,-z'
loop_
_atom_site_label
_atom_site_type_symbol
_atom_site_fract_x
_atom_site_fract_y
_atom_site_fract_z
Na1 Na 0.0000 0.2895 0.0000
Na2 Na 0.0000 0.6275 0.5000
Ti1 Ti 0.0000 0.0000 0.5000
Ti2 Ti 0.3333 0.6667 0.9971
F1 F 0.0835 0.8904 0.7086
F2 F 0.1411 0.5491 0.7879
F3 F 0.2237 0.7504 0.2060

---

# 6
# PBEsol Na2TiF6, optimized geometry
# V ... 13.44 Å³ per atom
# Uncorrected formation energy ... -3.173 eV per atom
data_Na2TiF6
_cell_length_a 9.5583
_cell_length_b 9.5583
_cell_length_c 4.5881
_cell_angle_alpha 90.00
_cell_angle_beta 90.00
_cell_angle_gamma 120.00
_symmetry_space_group_name_H-M 'P -3 m 1'
_symmetry_Int_Tables_number 164
_symmetry_space_group_name_Hall '-P 3 2"'
loop_
_atom_site_label
_atom_site_type_symbol
_atom_site_fract_x
_atom_site_fract_y
_atom_site_fract_z
Na1 Na 0.0000 0.3423 0.0000
Ti1 Ti 0.0000 0.0000 0.0000
Ti2 Ti 0.3333 0.6667 0.4974
F1 F 0.0957 0.1914 0.7797
F2 F 0.1456 0.5728 0.7305
F3 F 0.2398 0.4797 0.2652

---

# 7
# PBEsol NaTi2F, optimized geometry
# V ... 15.61 Å³ per atom
# Uncorrected formation energy ... -0.303 eV per atom
data_NaTi2F
_cell_length_a 7.532
_cell_length_b 7.532
_cell_length_c 4.403
_cell_angle_alpha 90.00
_cell_angle_beta 90.00
_cell_angle_gamma 90.00
_symmetry_space_group_name_H-M 'I -4 2 d'
_symmetry_Int_Tables_number 122
_symmetry_space_group_name_Hall 'I -4 2bw'
loop_
_atom_site_label
_atom_site_type_symbol
_atom_site_fract_x
_atom_site_fract_y
_atom_site_fract_z
Na1 Na 0.000 0.000 0.000
Ti1 Ti 0.128 0.250 0.625
F1 F 0.000 0.000 0.500

---

# 8
# PBEsol Na3TiF6, optimized geometry
# Excess energy over the best structure of this formula in the dataset ... 0.0000 eV/atom
# V ... 12.70 Å³ per atom
# Uncorrected formation energy ... -3.002 eV per atom
data_Na3TiF6
_cell_length_a 5.525
_cell_length_b 5.758
_cell_length_c 9.650
_cell_angle_alpha 90.00
_cell_angle_beta 124.14
_cell_angle_gamma 90.00
_symmetry_space_group_name_H-M 'P 1 21/c 1'
_symmetry_Int_Tables_number 14
loop_
_symmetry_equiv_pos_as_xyz
'x,y,z'
'-x,-y,-z'
'-x,y+1/2,-z+1/2'
'x,-y+1/2,z+1/2'
loop_
_atom_site_label
_atom_site_type_symbol
_atom_site_fract_x
_atom_site_fract_y
_atom_site_fract_z
Na1 Na 0.000 0.000 0.000
Na2 Na 0.224 0.059 0.742
Ti1 Ti 0.500 0.000 0.500
F1 F 0.154 0.179 0.446
F2 F 0.253 0.719 0.423
F3 F 0.394 0.062 0.271

---

# 9
# PBEsol Na3TiF8, optimized geometry
# V ... 13.49 Å³ per atom
# Uncorrected formation energy ... -2.835 eV per atom
data_Na3TiF8
_cell_length_a 7.188
_cell_length_b 13.769
_cell_length_c 6.540
_cell_angle_alpha 90.00
_cell_angle_beta 90.00
_cell_angle_gamma 90.00
_symmetry_space_group_name_H-M 'C m c m'
_symmetry_Int_Tables_number 63
_symmetry_space_group_name_Hall '-C 2c 2'
loop_
_atom_site_label
_atom_site_type_symbol
_atom_site_fract_x
_atom_site_fract_y
_atom_site_fract_z
Na1 Na 0.000 0.174 0.250
Na2 Na 0.250 0.094 0.750
Ti1 Ti 0.000 0.346 0.750
F1 F 0.000 0.070 0.529
F2 F 0.000 0.345 0.039
F3 F 0.184 0.440 0.750
F4 F 0.190 0.252 0.750

---

# 10
# PBEsol Na2UF8, optimized geometry
# V ... 14.50 Å³ per atom
# Uncorrected formation energy ... -3.143 eV per atom
data_Na2UF8
_cell_length_a 5.524
_cell_length_b 5.524
_cell_length_c 10.454
_cell_angle_alpha 90.00
_cell_angle_beta 90.00
_cell_angle_gamma 90.00
_symmetry_space_group_name_H-M 'I 4/m m m'
_symmetry_Int_Tables_number 139
_symmetry_space_group_name_Hall '-I 4 2'
loop_
_atom_site_label
_atom_site_type_symbol
_atom_site_fract_x
_atom_site_fract_y
_atom_site_fract_z
Na1 Na 0.000 0.500 0.250
U1 U 0.000 0.000 0.000
F1 F 0.220 0.220 0.118

---

# 11
# PBEsol NaV3F10, optimized geometry
# V ... 13.28 Å³ per atom
# Uncorrected formation energy ... -2.858 eV per atom
data_NaV3F10
_cell_length_a 12.859
_cell_length_b 15.589
_cell_length_c 7.422
_cell_angle_alpha 90.00
_cell_angle_beta 90.00
_cell_angle_gamma 90.00
_symmetry_space_group_name_H-M 'F d d 2'
_symmetry_Int_Tables_number 43
_symmetry_space_group_name_Hall 'F 2 -2d'
loop_
_atom_site_label
_atom_site_type_symbol
_atom_site_fract_x
_atom_site_fract_y
_atom_site_fract_z
Na1 Na 0.000 0.000 0.000
V1 V 0.000 0.000 0.500
V2 V 0.000 0.248 0.500
F1 F 0.000 0.123 0.499
F2 F 0.000 0.136 0.001
F3 F 0.045 0.251 0.250
F4 F 0.102 0.003 0.693
F5 F 0.103 0.497 0.807

---

# 12
# PBEsol Na3VF6, optimized geometry
# V ... 12.44 Å³ per atom
# Uncorrected formation energy ... -2.832 eV per atom
data_Na3VF6
_cell_length_a 5.481
_cell_length_b 5.731
_cell_length_c 9.590
_cell_angle_alpha 90.00
_cell_angle_beta 124.28
_cell_angle_gamma 90.00
_symmetry_space_group_name_H-M 'P 1 21/c 1'
_symmetry_Int_Tables_number 14
loop_
_symmetry_equiv_pos_as_xyz
'x,y,z'
'-x,-y,-z'
'-x,y+1/2,-z+1/2'
'x,-y+1/2,z+1/2'
loop_
_atom_site_label
_atom_site_type_symbol
_atom_site_fract_x
_atom_site_fract_y
_atom_site_fract_z
Na1 Na 0.000 0.000 0.000
Na2 Na 0.225 0.060 0.744
V1 V 0.500 0.000 0.500
F1 F 0.159 0.179 0.447
F2 F 0.256 0.721 0.425
F3 F 0.394 0.059 0.273

---

# 13
# PBEsol NaVF4, optimized geometry
# V ... 12.99 Å³ per atom
# Uncorrected formation energy ... -2.862 eV per atom
data_NaVF4
_cell_length_a 7.973
_cell_length_b 5.346
_cell_length_c 7.503
_cell_angle_alpha 90.00
_cell_angle_beta 102.80
_cell_angle_gamma 90.00
_symmetry_space_group_name_H-M 'P 1 21/c 1'
_symmetry_Int_Tables_number 14
loop_
_symmetry_equiv_pos_as_xyz
'x,y,z'
'-x,-y,-z'
'-x,y+1/2,-z+1/2'
'x,-y+1/2,z+1/2'
loop_
_atom_site_label
_atom_site_type_symbol
_atom_site_fract_x
_atom_site_fract_y
_atom_site_fract_z
Na1 Na 0.118 0.219 0.399
V1 V 0.327 0.746 0.204
F1 F 0.140 0.518 0.189
F2 F 0.164 0.000 0.129
F3 F 0.324 0.650 0.953
F4 F 0.486 0.023 0.793

---

# 14
# PBEsol NaZr2VF11, optimized geometry
# V ... 14.27 Å³ per atom
# Uncorrected formation energy ... -3.400 eV per atom
data_NaZr2VF11
_cell_length_a 9.129
_cell_length_b 6.729
_cell_length_c 7.767
_cell_angle_alpha 90.00
_cell_angle_beta 116.21
_cell_angle_gamma 90.00
_symmetry_space_group_name_H-M 'C 1 2/m 1'
_symmetry_Int_Tables_number 12
loop_
_symmetry_equiv_pos_as_xyz
'x,y,z'
'-x,-y,-z'
'-x,y,-z'
'x,-y,z'
'x+1/2,y+1/2,z'
'-x+1/2,-y+1/2,-z'
'-x+1/2,y+1/2,-z'
'x+1/2,-y+1/2,z'
loop_
_atom_site_label
_atom_site_type_symbol
_atom_site_fract_x
_atom_site_fract_y
_atom_site_fract_z
Na1 Na 0.000 0.000 0.000
Zr1 Zr 0.006 0.500 0.236
V1 V 0.000 0.000 0.500
F1 F 0.000 0.328 0.000
F2 F 0.000 0.500 0.500
F3 F 0.014 0.204 0.310
F4 F 0.233 0.500 0.890
F5 F 0.247 0.000 0.644

---

# 15
# PBEsol NaYF4, optimized geometry
# V ... 11.92 Å³ per atom
# Uncorrected formation energy ... -3.735 eV per atom
data_NaYF4
_cell_length_a 5.9448
_cell_length_b 5.9448
_cell_length_c 7.0096
_cell_angle_alpha 90.00
_cell_angle_beta 90.00
_cell_angle_gamma 120.00
_symmetry_space_group_name_H-M 'P 3'
_symmetry_Int_Tables_number 143
loop_
_symmetry_equiv_pos_as_xyz
'x,y,z'
'-y,x-y,z'
'-x+y,-x,z'
loop_
_atom_site_label
_atom_site_type_symbol
_atom_site_fract_x
_atom_site_fract_y
_atom_site_fract_z
Na1 Na 0.0000 0.0000 0.0000
Na2 Na 0.0000 0.0000 0.4980
Na3 Na 0.3333 0.6667 0.6061
Y1 Y 0.3333 0.6667 0.1045
Y2 Y 0.6667 0.3333 0.3538
Y3 Y 0.6667 0.3333 0.8438
F1 F 0.0725 0.3810 0.3338
F2 F 0.0733 0.3852 0.8704
F3 F 0.4000 0.3003 0.5998
F4 F 0.3999 0.3133 0.1007

---

# 16
# PBEsol Na3YF, optimized geometry
# V ... 60.48 Å³ per atom
# Uncorrected formation energy ... 0.588 eV per atom
data_Na3YF
_cell_length_a 6.712
_cell_length_b 6.712
_cell_length_c 6.712
_cell_angle_alpha 90.00
_cell_angle_beta 90.00
_cell_angle_gamma 90.00
_symmetry_space_group_name_H-M 'P m -3 m'
_symmetry_Int_Tables_number 221
_symmetry_space_group_name_Hall '-P 4 2 3'
loop_
_atom_site_label
_atom_site_type_symbol
_atom_site_fract_x
_atom_site_fract_y
_atom_site_fract_z
Na1 Na 0.000 0.000 0.500
Y1 Y 0.000 0.000 0.000
F1 F 0.500 0.500 0.500

---

# 17
# PBEsol NaYF4, optimized geometry
# V ... 12.98 Å³ per atom
# Uncorrected formation energy ... -3.725 eV per atom
data_NaYF4
_cell_length_a 3.771
_cell_length_b 3.771
_cell_length_c 5.474
_cell_angle_alpha 90.00
_cell_angle_beta 90.00
_cell_angle_gamma 90.00
_symmetry_space_group_name_H-M 'P 4/m m m'
_symmetry_Int_Tables_number 123
_symmetry_space_group_name_Hall '-P 4 2'
loop_
_atom_site_label
_atom_site_type_symbol
_atom_site_fract_x
_atom_site_fract_y
_atom_site_fract_z
Na1 Na 0.000 0.000 0.000
Y1 Y 0.500 0.500 0.500
F1 F 0.000 0.500 0.270